(1)
Computed, not measured: a geometry-optimized Dy4SnIr2 structure at the PBE level of DFT.

energy relative to the elements: -0.70 eV per atom
calculated volume: 182.66 Å³ per cell
mass density: 10.48 Mg/m³
magnetization: 0.000 μB/atom
density of states at the Fermi level: 2.86 states/eV/cell

Lattice parameters (Å, degrees): 4.6507 4.6507 10.1146 76.71 76.71 60.00
Fractional positions:
Dy 0.3874 0.3874 0.8379
Dy 0.2014 0.2014 0.3959
Dy 0.7986 0.7986 0.6041
Dy 0.6126 0.6126 0.1621
Sn 0.0000 0.0000 0.0000
Ir 0.0984 0.0984 0.7047
Ir 0.9016 0.9016 0.2953

(2)
Computed, not measured: a geometry-optimized Dy6Sn2Ir structure at the PBE level of DFT.

energy relative to the elements: -0.49 eV per atom
calculated volume: 272.87 Å³ per cell
mass density: 8.55 Mg/m³
magnetization: 0.000 μB/atom
density of states at the Fermi level: 7.05 states/eV/cell

Lattice parameters (Å, degrees): 5.1169 7.1308 8.6706 114.28 107.15 90.00
Fractional positions:
Dy 0.1516 0.3918 0.3030
Dy 0.8484 0.0888 0.6970
Dy 0.8484 0.6082 0.6970
Dy 0.5000 0.2273 0.0000
Dy 0.1516 0.9112 0.3030
Dy 0.5000 0.7727 0.0000
Sn 0.6726 0.6724 0.3449
Sn 0.3274 0.3276 0.6551
Ir 0.0000 0.0000 0.0000

(3)
Computed, not measured: a geometry-optimized Dy3Sn3Ir structure at the PBE level of DFT.

energy relative to the elements: -0.76 eV per atom
calculated volume: 352.19 Å³ per cell
mass density: 9.77 Mg/m³
magnetization: 0.000 μB/atom
density of states at the Fermi level: 10.11 states/eV/cell

Lattice parameters (Å, degrees): 4.4869 5.9804 14.3485 84.40 81.00 67.97
Fractional positions:
Dy 0.5177 0.3437 0.6208
Dy 0.4823 0.6563 0.3792
Dy 0.2645 0.2275 0.2436
Dy 0.7355 0.7725 0.7564
Dy 0.4007 0.2751 0.9234
Dy 0.5993 0.7249 0.0766
Sn 0.8521 0.7634 0.5324
Sn 0.1479 0.2366 0.4676
Sn 0.1264 0.8240 0.9232
Sn 0.8736 0.1760 0.0768
Sn 0.9826 0.8021 0.2327
Sn 0.0174 0.1979 0.7673
Ir 0.7552 0.1095 0.3800
Ir 0.2448 0.8905 0.6200

(4)
Computed, not measured: a geometry-optimized Dy2Sn5Ir3 structure at the PBE level of DFT.

energy relative to the elements: -0.62 eV per atom
calculated volume: 428.95 Å³ per cell
mass density: 11.58 Mg/m³
magnetization: 0.000 μB/atom
density of states at the Fermi level: 9.03 states/eV/cell

Lattice parameters (Å, degrees): 4.4233 7.2944 13.4770 90.00 99.45 90.00
Fractional positions:
Dy 0.4765 0.7561 0.9529
Dy 0.1716 0.7247 0.3432
Dy 0.8284 0.2247 0.6568
Dy 0.5235 0.2561 0.0471
Sn 0.4026 0.3819 0.8051
Sn 0.2911 0.5056 0.5823
Sn 0.7089 0.0056 0.4177
Sn 0.1201 0.2593 0.2402
Sn 0.2947 0.9373 0.5894
Sn 0.9525 0.0937 0.9050
Sn 0.7053 0.4373 0.4106
Sn 0.8799 0.7593 0.7598
Sn 0.0475 0.5937 0.0950
Sn 0.5974 0.8819 0.1949
Ir 0.7767 0.7207 0.5534
Ir 0.6060 0.5091 0.2120
Ir 0.0495 0.9765 0.0990
Ir 0.2233 0.2207 0.4466
Ir 0.9505 0.4765 0.9010
Ir 0.3940 0.0091 0.7880

(5)
Computed, not measured: a geometry-optimized DySn2Ir structure at the PBE level of DFT.

energy relative to the elements: -0.61 eV per atom
calculated volume: 372.52 Å³ per cell
mass density: 10.56 Mg/m³
magnetization: 0.000 μB/atom
density of states at the Fermi level: 5.63 states/eV/cell

Lattice parameters (Å, degrees): 4.4975 9.6074 10.1222 118.33 102.84 90.00
Fractional positions:
Dy 0.7049 0.7049 0.4098
Dy 0.5000 0.2683 0.0000
Dy 0.5000 0.7317 0.0000
Dy 0.2951 0.2951 0.5902
Sn 0.9203 0.4203 0.8406
Sn 0.7022 0.3604 0.4045
Sn 0.7022 0.0441 0.4045
Sn 0.2978 0.6396 0.5955
Sn 0.0825 0.0825 0.1650
Sn 0.0797 0.5797 0.1594
Sn 0.9175 0.9175 0.8350
Sn 0.2978 0.9559 0.5955
Ir 0.8561 0.6033 0.7122
Ir 0.1439 0.3967 0.2878
Ir 0.1439 0.8911 0.2878
Ir 0.8561 0.1089 0.7122

(6)
Computed, not measured: a geometry-optimized SrDy2Ir structure at the PBE level of DFT.

energy relative to the elements: -0.42 eV per atom
calculated volume: 142.00 Å³ per cell
mass density: 7.07 Mg/m³
magnetization: 0.000 μB/atom
density of states at the Fermi level: 3.45 states/eV/cell
ΔE to the lowest computed polymorph: 0.056 eV per formula unit

Lattice parameters (Å, degrees): 4.1331 4.1331 9.8907 77.94 77.94 60.00
Fractional positions:
Sr 0.5000 0.5000 0.5000
Ir 0.0000 0.0000 0.0000
Dy 0.2851 0.2851 0.1448
Dy 0.7149 0.7149 0.8552

(7)
Computed, not measured: a geometry-optimized SrDy2Ir structure at the PBE level of DFT.

energy relative to the elements: -0.43 eV per atom
calculated volume: 139.17 Å³ per cell
mass density: 7.22 Mg/m³
magnetization: 0.000 μB/atom
density of states at the Fermi level: 4.12 states/eV/cell
ΔE to the lowest computed polymorph: 0.000 eV per formula unit

Lattice parameters (Å, degrees): 4.1708 4.1708 9.5466 77.38 77.38 60.00
Fractional positions:
Sr 0.5013 0.5013 0.4960
Dy 0.0488 0.0488 0.8537
Dy 0.2837 0.2837 0.1489
Ir 0.6662 0.6662 0.0014

(8)
Computed, not measured: a geometry-optimized SrDy2Ir9 structure at the PBE level of DFT.

energy relative to the elements: -0.45 eV per atom
calculated volume: 217.37 Å³ per cell
mass density: 16.37 Mg/m³
magnetization: 0.000 μB/atom
density of states at the Fermi level: 13.94 states/eV/cell

Lattice parameters (Å, degrees): 5.3650 5.3650 9.2543 73.15 73.15 60.00
Fractional positions:
Sr 0.0000 0.0000 0.0000
Dy 0.8612 0.8612 0.4165
Dy 0.1388 0.1388 0.5835
Ir 0.6673 0.6673 0.9980
Ir 0.3327 0.3327 0.0020
Ir 0.5000 0.5000 0.5000
Ir 0.4176 0.4176 0.2479
Ir 0.9168 0.4176 0.2479
Ir 0.4176 0.9168 0.2479
Ir 0.5824 0.5824 0.7521
Ir 0.5824 0.0832 0.7521
Ir 0.0832 0.5824 0.7521

(9)
Computed, not measured: a geometry-optimized SrDyIr4 structure at the PBE level of DFT.

energy relative to the elements: -0.52 eV per atom
calculated volume: 112.32 Å³ per cell
mass density: 15.06 Mg/m³
magnetization: 0.000 μB/atom
density of states at the Fermi level: 7.59 states/eV/cell

Lattice parameters (Å, degrees): 5.4158 5.4158 5.4158 60.00 60.00 60.00
Fractional positions:
Sr 0.0000 0.0000 0.0000
Ir 0.6248 0.6248 0.1255
Ir 0.6248 0.1255 0.6248
Ir 0.6248 0.6248 0.6248
Ir 0.1255 0.6248 0.6248
Dy 0.2500 0.2500 0.2500

(10)
Computed, not measured: a geometry-optimized DyTaIr2 structure at the PBE level of DFT.

energy relative to the elements: -0.54 eV per atom
calculated volume: 78.34 Å³ per cell
mass density: 15.43 Mg/m³
magnetization: 0.000 μB/atom
density of states at the Fermi level: 2.71 states/eV/cell
ΔE to the lowest computed polymorph: 0.406 eV per formula unit

Lattice parameters (Å, degrees): 4.4210 4.4210 5.2856 65.28 65.28 60.00
Fractional positions:
Ir 0.7800 0.7800 0.6600
Ir 0.2200 0.2200 0.3400
Dy 0.0000 0.0000 0.0000
Ta 0.5000 0.5000 0.5000

(11)
Computed, not measured: a geometry-optimized DyTaIr2 structure at the PBE level of DFT.

energy relative to the elements: -0.52 eV per atom
calculated volume: 71.94 Å³ per cell
mass density: 16.80 Mg/m³
magnetization: 0.000 μB/atom
density of states at the Fermi level: 4.09 states/eV/cell
ΔE to the lowest computed polymorph: 0.485 eV per formula unit

Lattice parameters (Å, degrees): 3.0210 4.8801 4.8801 90.00 90.00 90.00
Fractional positions:
Ir 0.0000 0.0000 0.5000
Ir 0.0000 0.5000 0.0000
Dy 0.5000 0.5000 0.5000
Ta 0.5000 0.0000 0.0000

(12)
Computed, not measured: a geometry-optimized DyTaIr2 structure at the PBE level of DFT.

energy relative to the elements: -0.64 eV per atom
calculated volume: 73.24 Å³ per cell
mass density: 16.50 Mg/m³
magnetization: 0.000 μB/atom
density of states at the Fermi level: 3.30 states/eV/cell
ΔE to the lowest computed polymorph: 0.000 eV per formula unit

Lattice parameters (Å, degrees): 3.1087 3.1087 7.5788 90.00 90.00 90.00
Fractional positions:
Ir 0.0000 0.0000 0.7890
Ir 0.0000 0.0000 0.2110
Dy 0.5000 0.5000 0.5000
Ta 0.5000 0.5000 0.0000

(13)
Computed, not measured: a geometry-optimized TbDy2Ir structure at the PBE level of DFT.

energy relative to the elements: -0.58 eV per atom
calculated volume: 431.00 Å³ per cell
mass density: 10.42 Mg/m³
magnetization: 0.000 μB/atom
density of states at the Fermi level: 17.22 states/eV/cell
ΔE to the lowest computed polymorph: 0.000 eV per formula unit

Lattice parameters (Å, degrees): 6.3884 7.2326 9.3280 90.00 90.00 90.00
Fractional positions:
Tb 0.6333 0.5342 0.2500
Tb 0.8667 0.0342 0.2500
Tb 0.3667 0.4658 0.7500
Tb 0.1333 0.9658 0.7500
Dy 0.1731 0.6766 0.0633
Dy 0.3269 0.1766 0.4367
Dy 0.8269 0.3234 0.5633
Dy 0.6731 0.8234 0.9367
Dy 0.8269 0.3234 0.9367
Dy 0.6731 0.8234 0.5633
Dy 0.1731 0.6766 0.4367
Dy 0.3269 0.1766 0.0633
Ir 0.0500 0.3828 0.2500
Ir 0.4500 0.8828 0.2500
Ir 0.9500 0.6172 0.7500
Ir 0.5500 0.1172 0.7500

(14)
Computed, not measured: a geometry-optimized TbDy3Ir3 structure at the PBE level of DFT.

energy relative to the elements: -0.70 eV per atom
calculated volume: 323.41 Å³ per cell
mass density: 12.56 Mg/m³
magnetization: 0.000 μB/atom
density of states at the Fermi level: 6.07 states/eV/cell
ΔE to the lowest computed polymorph: 0.143 eV per formula unit

Lattice parameters (Å, degrees): 6.9949 6.9949 6.6099 89.99 89.99 90.32
Fractional positions:
Tb 0.7522 0.7522 0.0002
Tb 0.2478 0.2478 0.9998
Dy 0.7550 0.7550 0.5002
Dy 0.2446 0.7554 0.5000
Dy 0.7554 0.2446 0.5000
Dy 0.2426 0.7574 0.0000
Dy 0.7574 0.2426 0.0000
Dy 0.2450 0.2450 0.4998
Ir 0.0000 0.0000 0.2502
Ir 0.0000 0.5000 0.7493
Ir 0.5000 0.0000 0.7493
Ir 0.0000 0.5000 0.2507
Ir 0.5000 0.0000 0.2507
Ir 0.0000 0.0000 0.7498

(15)
Computed, not measured: a geometry-optimized TbDy3Ir3 structure at the PBE level of DFT.

energy relative to the elements: -0.73 eV per atom
calculated volume: 160.12 Å³ per cell
mass density: 12.68 Mg/m³
magnetization: 0.000 μB/atom
density of states at the Fermi level: 5.84 states/eV/cell
ΔE to the lowest computed polymorph: 0.000 eV per formula unit

Lattice parameters (Å, degrees): 5.9295 5.9117 5.9295 109.41 109.53 109.41
Fractional positions:
Tb 0.0000 0.5031 0.0000
Dy 0.4996 0.0035 0.0000
Dy 0.5004 0.5039 0.5004
Dy 0.0000 0.0035 0.4996
Ir 0.5001 0.5037 0.0000
Ir 0.4999 0.0036 0.4999
Ir 0.0000 0.5037 0.5001

(16)
Computed, not measured: a geometry-optimized Tb2DyIr structure at the PBE level of DFT.

energy relative to the elements: -0.53 eV per atom
calculated volume: 216.21 Å³ per cell
mass density: 10.33 Mg/m³
magnetization: 0.000 μB/atom
density of states at the Fermi level: 9.38 states/eV/cell
ΔE to the lowest computed polymorph: 0.157 eV per formula unit

Lattice parameters (Å, degrees): 3.9024 6.3376 9.1880 90.00 90.00 107.92
Fractional positions:
Tb 0.1411 0.2823 0.4334
Tb 0.8589 0.7177 0.5666
Tb 0.8589 0.7177 0.9334
Tb 0.1411 0.2823 0.0666
Dy 0.4241 0.8483 0.2500
Dy 0.5759 0.1517 0.7500
Ir 0.7511 0.5024 0.2500
Ir 0.2489 0.4976 0.7500

(17)
Computed, not measured: a geometry-optimized TbDy8Ir6 structure at the PBE level of DFT.

energy relative to the elements: -0.79 eV per atom
calculated volume: 356.31 Å³ per cell
mass density: 12.17 Mg/m³
magnetization: 0.000 μB/atom
density of states at the Fermi level: 9.50 states/eV/cell

Lattice parameters (Å, degrees): 7.6705 7.6705 7.6705 65.35 65.35 65.35
Fractional positions:
Tb 0.0000 0.0000 0.0000
Dy 0.2218 0.5536 0.8886
Dy 0.1114 0.7782 0.4464
Dy 0.4464 0.1114 0.7782
Dy 0.6663 0.6663 0.6663
Dy 0.3337 0.3337 0.3337
Dy 0.5536 0.8886 0.2218
Dy 0.8886 0.2218 0.5536
Dy 0.7782 0.4464 0.1114
Ir 0.0570 0.3905 0.7232
Ir 0.2768 0.9430 0.6095
Ir 0.6095 0.2768 0.9430
Ir 0.3905 0.7232 0.0570
Ir 0.7232 0.0570 0.3905
Ir 0.9430 0.6095 0.2768

(18)
Computed, not measured: a geometry-optimized TbDy2Ir structure at the PBE level of DFT.

energy relative to the elements: -0.39 eV per atom
calculated volume: 106.70 Å³ per cell
mass density: 10.52 Mg/m³
magnetization: 0.000 μB/atom
density of states at the Fermi level: 5.15 states/eV/cell
ΔE to the lowest computed polymorph: 0.725 eV per formula unit

Lattice parameters (Å, degrees): 3.4859 3.4859 8.7805 90.00 90.00 90.00
Fractional positions:
Ir 0.5000 0.5000 0.0000
Tb 0.5000 0.5000 0.5000
Dy 0.0000 0.0000 0.8144
Dy 0.0000 0.0000 0.1856

(19)
Computed, not measured: a geometry-optimized Tb2DyIr3 structure at the PBE level of DFT.

energy relative to the elements: -0.79 eV per atom
calculated volume: 121.97 Å³ per cell
mass density: 14.39 Mg/m³
magnetization: 0.000 μB/atom
density of states at the Fermi level: 2.78 states/eV/cell
ΔE to the lowest computed polymorph: 0.000 eV per formula unit

Lattice parameters (Å, degrees): 4.8651 4.8651 5.9504 90.00 90.00 120.00
Fractional positions:
Tb 0.6667 0.3333 0.3330
Tb 0.3333 0.6667 0.6670
Dy 0.0000 0.0000 0.0000
Ir 0.0000 0.0000 0.5000
Ir 0.6667 0.3333 0.8345
Ir 0.3333 0.6667 0.1655

(20)
Computed, not measured: a geometry-optimized Tb2DyIr structure at the PBE level of DFT.

energy relative to the elements: -0.57 eV per atom
calculated volume: 433.43 Å³ per cell
mass density: 10.31 Mg/m³
magnetization: 0.000 μB/atom
density of states at the Fermi level: 17.40 states/eV/cell
ΔE to the lowest computed polymorph: 0.000 eV per formula unit

Lattice parameters (Å, degrees): 6.3831 7.2336 9.3870 90.00 90.00 90.00
Fractional positions:
Tb 0.1738 0.6772 0.0633
Tb 0.3262 0.1772 0.4367
Tb 0.8262 0.3228 0.5633
Tb 0.6738 0.8228 0.9367
Tb 0.8262 0.3228 0.9367
Tb 0.6738 0.8228 0.5633
Tb 0.1738 0.6772 0.4367
Tb 0.3262 0.1772 0.0633
Dy 0.6347 0.5348 0.2500
Dy 0.8653 0.0348 0.2500
Dy 0.3653 0.4652 0.7500
Dy 0.1347 0.9652 0.7500
Ir 0.0478 0.3828 0.2500
Ir 0.4522 0.8828 0.2500
Ir 0.9522 0.6172 0.7500
Ir 0.5478 0.1172 0.7500

One value per record, in order, for final energy: -45.06; -48.92; -39.97; -62.04; -23.90; -21.42; -21.48; -96.07; -44.84; -36.32; -36.24; -36.72; -25.00; -49.95; -50.10; -24.84; -106.40; -24.27; -45.20; -25.00 eV/f.u..